(1)
PBE-GGA LaCePrTh, relaxed; formation energy = 0.25 eV per atom; calculated density = 8.0 g/cm³; VASP energy = -5.517 eV/atom; calculated volume = 134.51 Å³/cell
1.0
5.751 0.000 0.000
2.876 4.981 0.000
2.876 1.660 4.696
Pr Ce Th La
1 1 1 1
Cartesian
0.000 0.000 0.000
8.627 4.981 3.522
5.751 3.320 2.348
2.876 1.660 1.174

***

(2)
PBE-GGA Dy4Bi2TeSe, relaxed; calculated density = 9.1 g/cm³; VASP energy = -5.272 eV/atom; calculated volume = 233.07 Å³/cell
1.0
-2.940 1.110 -3.024
-5.546 -2.009 4.655
-2.068 5.932 4.189
Dy Bi Te Se
4 2 1 1
Cartesian
-5.658 3.062 6.626
-4.896 1.972 -0.805
-6.087 0.504 2.959
-4.467 4.530 2.862
-2.068 5.932 4.189
-2.504 3.521 0.583
-3.807 1.962 4.422
-6.311 5.483 5.005

***

(3)
PBE-GGA HF, relaxed; calculated density = 1.7 g/cm³; VASP energy = -4.143 eV/atom; calculated volume = 19.58 Å³/cell
1.0
-0.160 -2.241 -1.058
2.754 -0.859 -1.114
1.625 -2.160 1.635
H F
1 1
Cartesian
3.061 -2.801 0.907
1.681 -1.519 -1.047

***

(4)
PBE-GGA HoZnGaCu6, relaxed; formation energy = 0.09 eV per atom; calculated density = 7.9 g/cm³; VASP energy = -3.628 eV/atom; calculated volume = 286.84 Å³/cell
1.0
6.872 0.000 0.000
0.000 8.675 0.000
-3.436 -4.338 4.811
Ho Zn Ga Cu
2 2 2 12
Cartesian
3.436 2.169 2.058
0.000 2.169 2.754
1.718 -2.169 2.406
-1.718 -2.169 2.406
3.436 4.338 0.000
3.436 0.000 0.000
3.436 6.507 0.792
3.436 -2.169 4.627
5.629 0.036 1.228
1.243 4.302 1.228
1.243 0.036 1.228
5.629 4.302 1.228
0.000 -2.169 4.019
0.000 6.507 0.184
-2.193 4.302 3.583
2.193 0.036 3.583
2.193 4.302 3.583
-2.193 0.036 3.583

***

(5)
PBE-GGA HfH2I3, relaxed; calculated density = 4.6 g/cm³; VASP energy = -4.137 eV/atom; calculated volume = 406.71 Å³/cell
1.0
8.521 0.000 0.000
-4.261 7.379 0.000
0.000 0.000 6.468
Hf H I
2 4 6
Cartesian
0.000 0.000 0.000
0.000 0.000 3.234
0.000 4.920 5.227
4.261 2.460 1.993
4.261 2.460 1.241
0.000 4.920 4.475
2.180 6.179 1.617
0.000 2.402 1.617
-2.181 6.179 1.617
2.080 1.201 4.851
4.260 4.978 4.851
6.441 1.201 4.851

***

(6)
PBE-GGA ZnOs2Se, relaxed; calculated density = 14.6 g/cm³; VASP energy = -6.255 eV/atom; calculated volume = 59.89 Å³/cell
1.0
-1.035 -8.165 1.448
1.786 -8.129 0.749
0.957 -7.541 3.472
Os Se Zn
2 1 1
Cartesian
0.005 -0.069 0.016
0.849 -11.849 2.818
1.281 -17.876 4.252
0.427 -5.959 1.417